The following is a DFT calculation (PBE) of ZrTaSi2 after structural relaxation.

a = 7.211 Å, b = 7.211 Å, c = 7.211 Å
α = 131.24°, β = 131.24°, γ = 71.43°
Fractional positions:
Zr 0.000 0.000 0.000
Zr 0.750 0.250 0.500
Ta 0.250 0.750 0.500
Ta 0.500 0.500 0.000
Si 0.147 0.625 0.022
Si 0.375 0.397 0.522
Si 0.603 0.125 0.978
Si 0.875 0.853 0.478

total moment	0.0000	μB/atom
formation energy from raw total energies	0.688	eV/atom
density	5.26	g/cm3
excess energy over the best structure of this formula in the dataset	1341.7	meV per atom